An optimized crystal structure of ZrSeCl2. Source: Alexandria via LeMat-Bulk, functional PBE.

Unit cell a=5.9387 b=9.3704 c=3.6614 alpha=90.00 beta=125.70 gamma=90.00
Last column: nearest neighbours and their distance in Å.
Space group C2/m (No. 12)
Unique sites:
1 Zr 0.0000 0.0000 0.0000 [2 per cell]  4 Cl 2.81, 4 Se 2.97-3.09
2 Se 0.0000 0.5000 0.0000 [2 per cell]  4 Cl 2.81, 4 Zr 2.97-3.09
3 Cl 0.2500 0.2500 0.5000 [4 per cell]  2 Zr 2.81, 2 Se 2.81, 4 Cl 2.97-3.09

* energy: -4.4439 eV per atom
* calculated density: 4.84 g cm⁻³
* E_form (uncorrected): -0.51 eV per atom



An optimized crystal structure of ZrSe4Cl. Source: Alexandria via LeMat-Bulk, functional PBE.

Unit cell a=7.9782 b=7.9782 c=7.9782 alpha=90.00 beta=90.00 gamma=90.00
Last column: nearest neighbours and their distance in Å.
Space group F-43m (No. 216)
Unique sites:
1 Zr 0.0000 0.0000 0.0000 [4 per cell]  12 Se 3.31, 4 Cl 3.45
2 Se 0.1255 0.1255 0.3745 [16 per cell]  6 Se 2.81-2.83
3 Cl 0.2500 0.2500 0.7500 [4 per cell]  12 Se 3.31, 4 Zr 3.45

* energy: -3.9373 eV per atom
* calculated density: 5.79 g cm⁻³
* E_form (uncorrected): 0.12 eV per atom



An optimized crystal structure of ZrSe2Cl. Source: Alexandria via LeMat-Bulk, functional PBE.

Unit cell a=4.7658 b=4.7658 c=3.6249 alpha=90.00 beta=90.00 gamma=90.00
Last column: nearest neighbours and their distance in Å.
Space group P4/mmm (No. 123)
Unique sites:
1 Zr 0.0000 0.0000 0.0000 [1 per cell]  8 Se 2.99
2 Se 0.0000 0.5000 0.5000 [2 per cell]  4 Zr 2.99, 4 Cl 2.99
3 Cl 0.5000 0.5000 0.0000 [1 per cell]  8 Se 2.99

* energy: -4.5500 eV per atom
* calculated density: 5.74 g cm⁻³
* E_form (uncorrected): -0.21 eV per atom



An optimized crystal structure of ZrSe2Cl. Source: Alexandria via LeMat-Bulk, functional PBE.

Unit cell a=3.3544 b=5.1178 c=12.7960 alpha=90.00 beta=90.00 gamma=90.00
Last column: nearest neighbours and their distance in Å.
Space group Immm (No. 71)
Unique sites:
1 Zr 0.0000 0.0000 0.0000 [2 per cell]  4 Se 2.66
2 Se 0.0000 0.5000 0.3390 [4 per cell]  2 Zr 2.66
3 Cl 0.0000 0.0000 0.5000 [2 per cell]  4 Zr 3.06, 4 Se 3.29, 2 Cl 3.35

* energy: -5.0518 eV per atom
* calculated density: 4.30 g cm⁻³
* E_form (uncorrected): -0.71 eV per atom



An optimized crystal structure of ZrSe2Cl. Source: Alexandria via LeMat-Bulk, functional PBE.

Unit cell a=9.4688 b=3.6246 c=5.3702 alpha=90.00 beta=103.91 gamma=90.00
Last column: nearest neighbours and their distance in Å.
Space group C2/m (No. 12)
Unique sites:
1 Zr 0.0000 0.0000 0.0000 [2 per cell]  4 Se 2.72
2 Se 0.2128 0.5000 0.1906 [4 per cell]  2 Zr 2.72, 1 Cl 2.90, 2 Se 2.94
3 Cl 0.0000 0.5000 0.5000 [2 per cell]  2 Se 2.90, 4 Zr 3.24

* energy: -5.0336 eV per atom
* calculated density: 5.28 g cm⁻³
* E_form (uncorrected): -0.69 eV per atom



An optimized crystal structure of ZrSe2Cl. Source: Alexandria via LeMat-Bulk, functional PBE.

Unit cell a=3.9500 b=3.4105 c=8.3206 alpha=90.00 beta=101.91 gamma=90.00
Last column: nearest neighbours and their distance in Å.
Space group Pm (No. 6)
Unique sites:
1 Zr 0.0000 0.0000 0.0000 [1 per cell]  2 Cl 2.60, 5 Se 2.73-2.78
2 Se 0.1881 0.0000 0.3345 [1 per cell]  1 Zr 2.73
3 Se 0.5470 0.5000 0.1137 [1 per cell]  4 Zr 2.76-2.78, 2 Se 3.06
4 Cl 0.9000 0.5000 0.7597 [1 per cell]  2 Zr 2.60

* energy: -5.2394 eV per atom
* calculated density: 4.31 g cm⁻³
* E_form (uncorrected): -0.90 eV per atom



An optimized crystal structure of Zr4SeCl. Source: Alexandria via LeMat-Bulk, functional PBE.

Unit cell a=8.2221 b=8.2221 c=8.2221 alpha=90.00 beta=90.00 gamma=90.00
Last column: nearest neighbours and their distance in Å.
Space group F-43m (No. 216)
Unique sites:
1 Zr 0.1244 0.1244 0.3756 [16 per cell]  6 Zr 2.89-2.92
2 Se 0.2500 0.2500 0.7500 [4 per cell]  12 Zr 3.41, 4 Cl 3.56
3 Cl 0.0000 0.0000 0.0000 [4 per cell]  12 Zr 3.41, 4 Se 3.56

* energy: -6.2618 eV per atom
* calculated density: 5.73 g cm⁻³
* E_form (uncorrected): 0.33 eV per atom



An optimized crystal structure of ZrSeCl2. Source: Alexandria via LeMat-Bulk, functional PBE.

Unit cell a=3.2219 b=3.2219 c=35.0272 alpha=90.00 beta=90.00 gamma=120.00
Last column: nearest neighbours and their distance in Å.
Space group R-3m (No. 166, hexagonal axes)
Unique sites:
1 Zr 0.0000 0.0000 0.0000 [3 per cell]  6 Cl 2.61
2 Se 0.0000 0.0000 0.5000 [3 per cell]  6 Se 3.22
3 Cl 0.0000 0.0000 0.3857 [6 per cell]  3 Zr 2.61

* energy: -4.8086 eV per atom
* calculated density: 3.81 g cm⁻³
* E_form (uncorrected): -0.88 eV per atom



An optimized crystal structure of ZrSe2Cl. Source: Alexandria via LeMat-Bulk, functional PBE.

Unit cell a=3.7595 b=3.7595 c=24.5172 alpha=90.00 beta=90.00 gamma=120.00
Last column: nearest neighbours and their distance in Å.
Space group R-3m (No. 166, hexagonal axes)
Unique sites:
1 Zr 0.0000 0.0000 0.0000 [3 per cell]  6 Se 2.70
2 Se 0.0000 0.0000 0.2676 [6 per cell]  3 Zr 2.70
3 Cl 0.0000 0.0000 0.5000 [3 per cell]  6 Se 3.29

* energy: -5.1439 eV per atom
* calculated density: 4.72 g cm⁻³
* E_form (uncorrected): -0.80 eV per atom



An optimized crystal structure of ZrSe2Cl. Source: Alexandria via LeMat-Bulk, functional PBE.

Unit cell a=3.4656 b=4.6811 c=14.2119 alpha=90.00 beta=90.00 gamma=90.00
Last column: nearest neighbours and their distance in Å.
Space group Imm2 (No. 44)
Unique sites:
1 Zr 0.0000 0.0000 0.0000 [2 per cell]  2 Cl 2.67, 6 Se 2.68-2.93
2 Se 0.0000 0.0000 0.4771 [2 per cell]  2 Se 2.90, 4 Zr 2.93
3 Se 0.0000 0.5000 0.3565 [2 per cell]  2 Zr 2.68, 2 Se 2.90
4 Cl 0.0000 0.5000 0.6432 [2 per cell]  2 Zr 2.67

* energy: -5.2179 eV per atom
* calculated density: 4.10 g cm⁻³
* E_form (uncorrected): -0.88 eV per atom



An optimized crystal structure of ZrSeCl2. Source: Alexandria via LeMat-Bulk, functional PBE.

Unit cell a=5.6847 b=8.8721 c=3.2821 alpha=90.00 beta=90.00 gamma=90.00
Last column: nearest neighbours and their distance in Å.
Space group Cmmm (No. 65)
Unique sites:
1 Zr 0.0000 0.0000 0.0000 [2 per cell]  2 Se 2.84, 8 Cl 3.10
2 Se 0.0000 0.5000 0.0000 [2 per cell]  2 Zr 2.84, 8 Cl 3.10
3 Cl 0.2500 0.2500 0.5000 [4 per cell]  2 Cl 2.84, 4 Zr 3.10, 4 Se 3.10

* energy: -4.1535 eV per atom
* calculated density: 4.84 g cm⁻³
* E_form (uncorrected): -0.22 eV per atom



An optimized crystal structure of ZrSe2Cl. Source: Alexandria via LeMat-Bulk, functional PBE.

Unit cell a=4.3662 b=4.3662 c=8.3421 alpha=90.00 beta=90.00 gamma=90.00
Last column: nearest neighbours and their distance in Å.
Space group I4/mmm (No. 139)
Unique sites:
1 Zr 0.0000 0.0000 0.0000 [2 per cell]  8 Se 3.02, 4 Cl 3.09
2 Se 0.0000 0.5000 0.2500 [4 per cell]  4 Zr 3.02, 4 Cl 3.02, 4 Se 3.09
3 Cl 0.0000 0.0000 0.5000 [2 per cell]  8 Se 3.02, 4 Zr 3.09

* energy: -4.8752 eV per atom
* calculated density: 5.94 g cm⁻³
* E_form (uncorrected): -0.53 eV per atom



An optimized crystal structure of ZrSeCl4. Source: Alexandria via LeMat-Bulk, functional PBE.

Unit cell a=7.9185 b=7.9185 c=7.9185 alpha=90.00 beta=90.00 gamma=90.00
Last column: nearest neighbours and their distance in Å.
Space group F-43m (No. 216)
Unique sites:
1 Zr 0.0000 0.0000 0.0000 [4 per cell]  12 Cl 3.28, 4 Se 3.43
2 Se 0.2500 0.2500 0.2500 [4 per cell]  12 Cl 3.29, 4 Zr 3.43
3 Cl 0.1261 0.1261 0.6261 [16 per cell]  6 Cl 2.78-2.82

* energy: -2.9456 eV per atom
* calculated density: 4.17 g cm⁻³
* E_form (uncorrected): 0.29 eV per atom



An optimized crystal structure of ZrSeCl2. Source: Alexandria via LeMat-Bulk, functional PBE.

Unit cell a=4.1159 b=4.1159 c=4.8174 alpha=90.00 beta=90.00 gamma=90.00
Last column: nearest neighbours and their distance in Å.
Space group P4/mmm (No. 123)
Unique sites:
1 Zr 0.0000 0.0000 0.0000 [1 per cell]  4 Se 2.91, 8 Cl 3.17
2 Se 0.5000 0.5000 0.0000 [1 per cell]  4 Zr 2.91, 8 Cl 3.17
3 Cl 0.0000 0.5000 0.5000 [2 per cell]  4 Cl 2.91, 4 Zr 3.17, 4 Se 3.17

* energy: -4.3325 eV per atom
* calculated density: 4.91 g cm⁻³
* E_form (uncorrected): -0.40 eV per atom